Entry 1:
{"formula": "Ca3PmTl12", "functional": "PBE", "state": "relaxed", "cell": [[4.8829, 0.0000, 0.0000], [0.0000, 4.8829, 0.0000], [0.0000, 0.0000, 19.1324]], "species": ["Ca", "Ca", "Ca", "Pm", "Tl", "Tl", "Tl", "Tl", "Tl", "Tl", "Tl", "Tl", "Tl", "Tl", "Tl", "Tl"], "fractional_positions": [[0.0000, 0.0000, 0.0000], [0.0000, 0.0000, 0.2520], [0.0000, 0.0000, 0.7480], [0.0000, 0.0000, 0.5000], [0.0000, 0.5000, 0.1255], [0.0000, 0.5000, 0.3756], [0.0000, 0.5000, 0.6244], [0.0000, 0.5000, 0.8745], [0.5000, 0.0000, 0.1255], [0.5000, 0.0000, 0.3756], [0.5000, 0.0000, 0.6244], [0.5000, 0.0000, 0.8745], [0.5000, 0.5000, 0.0000], [0.5000, 0.5000, 0.2505], [0.5000, 0.5000, 0.5000], [0.5000, 0.5000, 0.7495]], "formation_enthalpy_0k_ev_per_atom": -0.2460, "n_ef_per_ev_atom": 0.599}


Entry 2:
{"formula": "Cd3PRu", "functional": "PBE", "state": "relaxed", "cell": [[5.1507, 0.0000, 0.0000], [0.0000, 5.1507, 0.0000], [0.0000, 0.0000, 5.1507]], "species": ["Cd", "Cd", "Cd", "P", "Ru"], "fractional_positions": [[0.0000, 0.0000, 0.5000], [0.0000, 0.5000, 0.0000], [0.5000, 0.0000, 0.0000], [0.5000, 0.5000, 0.5000], [0.0000, 0.0000, 0.0000]], "relative_energy_kcal_per_mol_atoms": 0.000, "formation_enthalpy_0k_ev_per_atom": 1.0421, "n_ef_per_ev_atom": 0.815}


Q: What is the formula in the first record?
A: Ca3PmTl12


What did the first record say?
{"formula": "Ca3PmTl12", "functional": "PBE", "state": "relaxed", "cell": [[4.8829, 0.0000, 0.0000], [0.0000, 4.8829, 0.0000], [0.0000, 0.0000, 19.1324]], "species": ["Ca", "Ca", "Ca", "Pm", "Tl", "Tl", "Tl", "Tl", "Tl", "Tl", "Tl", "Tl", "Tl", "Tl", "Tl", "Tl"], "fractional_positions": [[0.0000, 0.0000, 0.0000], [0.0000, 0.0000, 0.2520], [0.0000, 0.0000, 0.7480], [0.0000, 0.0000, 0.5000], [0.0000, 0.5000, 0.1255], [0.0000, 0.5000, 0.3756], [0.0000, 0.5000, 0.6244], [0.0000, 0.5000, 0.8745], [0.5000, 0.0000, 0.1255], [0.5000, 0.0000, 0.3756], [0.5000, 0.0000, 0.6244], [0.5000, 0.0000, 0.8745], [0.5000, 0.5000, 0.0000], [0.5000, 0.5000, 0.2505], [0.5000, 0.5000, 0.5000], [0.5000, 0.5000, 0.7495]], "formation_enthalpy_0k_ev_per_atom": -0.2460, "n_ef_per_ev_atom": 0.599}